[1]
Compound: CePm5Tl8
Source: the Alexandria database
Functional: GGA-PBE
Structure: relaxed

Formation energy from the elements, eV per formula unit: -3.792
Space group: I-4, No. 82

Lattice parameters (Å, degrees): 8.2107 8.2107 8.2107 109.59 109.59 109.22
With the nearest neighbours (Å) after each atom.
Fractional coordinates of all 14 atoms:
1 Ce 0.0000 0.0000 0.0000  8 Tl 3.29-3.31
2 Pm 0.1254 0.2471 0.6245  8 Tl 3.26-3.29
3 Pm 0.2500 0.7500 0.5000  8 Tl 3.28
4 Pm 0.4991 0.8746 0.1217  8 Tl 3.26-3.29
5 Pm 0.6226 0.5009 0.3755  8 Tl 3.26-3.29
6 Pm 0.7529 0.3774 0.8783  8 Tl 3.26-3.29
7 Tl 0.0383 0.6219 0.7459  5 Pm 3.27-3.29, 1 Ce 3.29, 3 Tl 3.48-3.58
8 Tl 0.2091 0.4612 0.0825  5 Pm 3.26-3.28, 1 Ce 3.31, 3 Tl 3.52-3.58
9 Tl 0.3781 0.1239 0.4164  5 Pm 3.27-3.29, 1 Ce 3.29, 3 Tl 3.48-3.58
10 Tl 0.3787 0.1266 0.9175  5 Pm 3.26-3.28, 1 Ce 3.31, 3 Tl 3.52-3.58
11 Tl 0.5388 0.6213 0.7479  5 Pm 3.26-3.28, 1 Ce 3.31, 3 Tl 3.52-3.58
12 Tl 0.7076 0.9617 0.5836  5 Pm 3.27-3.29, 1 Ce 3.29, 3 Tl 3.48-3.58
13 Tl 0.8734 0.7909 0.2521  5 Pm 3.26-3.28, 1 Ce 3.31, 3 Tl 3.52-3.58
14 Tl 0.8761 0.2924 0.2541  5 Pm 3.27-3.29, 1 Ce 3.29, 3 Tl 3.48-3.58

[2]
Compound: CoSiRh2
Source: the Alexandria database
Functional: GGA-PBE
Structure: relaxed

Formation energy (no corrections), kJ/mol of atoms: -26.8
Space group: C2/m, No. 12

Lattice parameters (Å, degrees): 4.4680 4.4680 4.5825 104.14 104.14 35.85
With the nearest neighbours (Å) after each atom.
Fractional coordinates of all 4 atoms:
1 Co 0.0000 0.0000 0.0000  6 Rh 2.56-2.64, 4 Si 2.67, 2 Co 2.75
2 Si 0.5000 0.5000 0.5000  4 Rh 2.45, 4 Co 2.67
3 Rh 0.2359 0.2359 0.7459  2 Si 2.45, 3 Co 2.56-2.64, 4 Rh 2.66-2.70
4 Rh 0.7641 0.7641 0.2541  2 Si 2.45, 3 Co 2.56-2.64, 4 Rh 2.66-2.70

[3]
Compound: TbSm3Ho3
Source: the Alexandria database
Functional: GGA-PBE
Structure: relaxed

Energy above the most stable polymorph in this dataset, eV/f.u.: 0.990
Formation energy from the elements, eV per formula unit: 1.106
Space group: R-3, No. 148

Lattice parameters (Å, degrees): 14.7520 14.7520 14.7520 24.25 24.25 24.25
With the nearest neighbours (Å) after each atom.
Fractional coordinates of all 14 atoms:
1 Tb 0.1667 0.1667 0.1667  6 Ho 3.48-3.49, 3 Tb 3.58
2 Tb 0.8333 0.8333 0.8333  6 Ho 3.48-3.49, 3 Tb 3.58
3 Sm 0.0373 0.6996 0.3682  3 Ho 3.51-3.52, 9 Sm 3.55-3.65
4 Sm 0.3004 0.6318 0.9627  3 Ho 3.51-3.52, 9 Sm 3.55-3.65
5 Sm 0.3682 0.0373 0.6996  3 Ho 3.51-3.52, 9 Sm 3.55-3.65
6 Sm 0.6318 0.9627 0.3004  3 Ho 3.51-3.52, 9 Sm 3.55-3.65
7 Sm 0.6996 0.3682 0.0373  3 Ho 3.51-3.52, 9 Sm 3.55-3.65
8 Sm 0.9627 0.3004 0.6318  3 Ho 3.51-3.52, 9 Sm 3.55-3.65
9 Ho 0.1008 0.4348 0.7683  2 Tb 3.48-3.49, 3 Sm 3.51-3.52, 6 Ho 3.57-3.58
10 Ho 0.2317 0.8992 0.5653  2 Tb 3.48-3.49, 3 Sm 3.51-3.52, 6 Ho 3.57-3.58
11 Ho 0.4347 0.7683 0.1008  2 Tb 3.48-3.49, 3 Sm 3.51-3.52, 6 Ho 3.57-3.58
12 Ho 0.5653 0.2317 0.8992  2 Tb 3.48-3.49, 3 Sm 3.51-3.52, 6 Ho 3.57-3.58
13 Ho 0.7683 0.1008 0.4347  2 Tb 3.48-3.49, 3 Sm 3.51-3.52, 6 Ho 3.57-3.58
14 Ho 0.8992 0.5652 0.2317  2 Tb 3.48-3.49, 3 Sm 3.51-3.52, 6 Ho 3.57-3.58

[4]
Compound: LaPt2Br
Source: the Alexandria database
Functional: GGA-PBE
Structure: relaxed

Energy above the most stable polymorph in this dataset, eV/f.u.: 0.787
Formation energy (no corrections), kJ/mol of atoms: -76.3
Space group: P4mm, No. 99

Lattice parameters (Å, degrees): 3.7247 3.7247 7.7006 90.00 90.00 90.00
With the nearest neighbours (Å) after each atom.
Fractional coordinates of all 4 atoms:
1 La 0.0000 0.0000 0.0000  1 Pt 2.58
2 Pt 0.0000 0.0000 0.3350  1 La 2.58, 4 Pt 2.68
3 Pt 0.5000 0.5000 0.2683  4 Pt 2.68
4 Br 0.5000 0.5000 0.7759  4 La 3.15

[5]
Compound: Tl2ZnPb
Source: the Alexandria database
Functional: GGA-PBE
Structure: relaxed

Energy above the most stable polymorph in this dataset, eV/f.u.: 0.093
Formation energy from the elements, eV per formula unit: 0.428
Space group: R3m, No. 160

Lattice parameters (Å, degrees): 10.3725 10.3725 10.3725 19.72 19.72 19.72
With the nearest neighbours (Å) after each atom.
Fractional coordinates of all 4 atoms:
1 Tl 0.0000 0.0000 0.0000  3 Zn 3.01
2 Tl 0.2423 0.2423 0.2423  9 Tl 3.45-3.55, 3 Pb 3.52
3 Zn 0.7388 0.7388 0.7388  3 Tl 3.01, 3 Pb 3.10
4 Pb 0.4817 0.4817 0.4817  3 Zn 3.10

[6]
Compound: NaHf
Source: the Alexandria database
Functional: GGA-PBE
Structure: relaxed

Energy above the most stable polymorph in this dataset, eV/f.u.: 0.368
Formation energy from the elements, eV per formula unit: 1.201
Space group: P6_3/m, No. 176

Lattice parameters (Å, degrees): 10.9077 10.9077 2.9970 90.00 90.00 120.00
With the nearest neighbours (Å) after each atom.
Fractional coordinates of all 12 atoms:
1 Na 0.0603 0.2780 0.2500  6 Na 3.00-3.14, 1 Hf 3.06
2 Na 0.2177 0.9397 0.2500  6 Na 3.00-3.14, 1 Hf 3.06
3 Na 0.2780 0.2177 0.7500  6 Na 3.00-3.14, 1 Hf 3.06
4 Na 0.7220 0.7823 0.2500  6 Na 3.00-3.14, 1 Hf 3.06
5 Na 0.7823 0.0603 0.7500  6 Na 3.00-3.14, 1 Hf 3.06
6 Na 0.9397 0.7220 0.7500  6 Na 3.00-3.14, 1 Hf 3.06
7 Hf 0.1422 0.5901 0.2500  6 Hf 3.00-3.15, 1 Na 3.06
8 Hf 0.4099 0.5520 0.2500  6 Hf 3.00-3.15, 1 Na 3.06
9 Hf 0.4480 0.8578 0.2500  6 Hf 3.00-3.15, 1 Na 3.06
10 Hf 0.5520 0.1422 0.7500  6 Hf 3.00-3.15, 1 Na 3.06
11 Hf 0.5901 0.4480 0.7500  6 Hf 3.00-3.15, 1 Na 3.06
12 Hf 0.8578 0.4099 0.7500  6 Hf 3.00-3.15, 1 Na 3.06

[7]
Compound: Be4NbRh5
Source: the Alexandria database
Functional: GGA-PBE
Structure: relaxed

Formation energy from the elements, eV per formula unit: -5.706
Space group: P4/mmm, No. 123

Lattice parameters (Å, degrees): 2.8271 2.8271 14.8768 90.00 90.00 90.00
With the nearest neighbours (Å) after each atom.
Fractional coordinates of all 10 atoms:
1 Be 0.0000 0.0000 0.0925  8 Rh 2.43-2.44
2 Be 0.0000 0.0000 0.2764  8 Rh 2.41-2.45
3 Be 0.0000 0.0000 0.7236  8 Rh 2.41-2.45
4 Be 0.0000 0.0000 0.9075  8 Rh 2.43-2.44
5 Nb 0.0000 0.0000 0.5000  8 Rh 2.76, 4 Nb 2.83
6 Rh 0.5000 0.5000 0.0000  8 Be 2.43
7 Rh 0.5000 0.5000 0.1862  8 Be 2.41-2.44
8 Rh 0.5000 0.5000 0.3717  4 Be 2.45
9 Rh 0.5000 0.5000 0.6283  4 Be 2.45
10 Rh 0.5000 0.5000 0.8138  8 Be 2.41-2.44